[1]
Computed, not measured: a relaxed structure of Al8Ga2Ir at the PBE level of DFT.

Unit cell a=4.2424 b=5.6356 c=9.2158 alpha=115.76 beta=103.31 gamma=90.00
Element x y z (fractional)
Ga 0.1856 0.7820 0.3713
Ga 0.8144 0.2180 0.6287
Al 0.6364 0.9728 0.2727
Al 0.9921 0.2466 0.9843
Al 0.7902 0.6705 0.5804
Al 0.0079 0.7534 0.0157
Al 0.6199 0.4512 0.2398
Al 0.3801 0.5488 0.7602
Al 0.3636 0.0272 0.7273
Al 0.2098 0.3295 0.4196
Ir 0.5000 0.0000 0.0000

Summary:
The formation energy from the elements is -0.16 eV per atom. Its space-group type is C2/m, No. 12. The energy comes out at -4.242 eV per atom.

[2]
Computed, not measured: a relaxed structure of In8Hg5Sb at the PBE level of DFT.

Unit cell a=8.2158 b=7.7184 c=7.7184 alpha=106.90 beta=109.83 gamma=109.09
Element x y z (fractional)
In 0.2386 0.3689 0.2795
In 0.9043 0.8795 0.6292
In 0.7614 0.0409 0.1303
In 0.5848 0.2123 0.4608
In 0.2507 0.3764 0.7820
In 0.4152 0.8760 0.6276
In 0.0957 0.7249 0.9751
In 0.7493 0.5312 0.1257
Hg 0.1186 0.9890 0.3766
Hg 0.8814 0.2580 0.8704
Hg 0.3807 0.1262 0.9985
Hg 0.6193 0.6177 0.7455
Hg 0.0000 0.5050 0.5050
Sb 0.5000 0.7439 0.2439

Summary:
Its space-group type is C2, No. 5. The energy comes out at -1.955 eV per atom. Its formation energy without anion corrections is 0.0122 eV per atom.

[3]
Computed, not measured: a relaxed structure of Pu4NpP5 at the PBE level of DFT.

Unit cell a=5.6506 b=6.9218 c=6.9218 alpha=80.41 beta=65.91 gamma=65.91
Element x y z (fractional)
P 0.5012 0.0000 0.0000
P 0.7036 0.1981 0.3967
P 0.2984 0.8019 0.6033
P 0.1003 0.6033 0.1981
P 0.9017 0.3967 0.8019
Pu 0.2006 0.2012 0.3995
Pu 0.8014 0.7988 0.6005
Pu 0.6001 0.6005 0.2012
Pu 0.4019 0.3995 0.7988
Np 0.0011 0.0000 0.0000

Summary:
The formation energy from the elements is -1.09 eV per atom. Its space-group type is I4/m, No. 87. The energy comes out at -10.825 eV per atom.